A relaxed structure of Tm2GeBi, computed with GGA-PBE.

The structure in POSCAR format:
```
Tm2GeBi
1.0
2.061 1.190 7.434
-2.061 1.190 7.434
0.000 -2.380 7.434
Tm Ge Bi
2 1 1
Cartesian
0.000 0.000 5.320 Tm
0.000 0.000 16.981 Tm
0.000 0.000 11.151 Ge
0.000 0.000 0.000 Bi
```

M_tot = 0.0 μB/cell
E above lowest polymorph = 13 meV/atom
total energy = -5.077 eV/atom

***

A relaxed structure of BaVCoPt2, computed with GGA-PBE.

The structure in POSCAR format:
```
BaVCoPt2
1.0
4.763 0.000 0.000
0.000 4.763 0.000
0.000 0.000 4.974
Ba V Co Pt
1 1 1 2
Cartesian
0.000 0.000 0.000 Ba
2.382 2.382 0.000 V
0.000 0.000 2.487 Co
0.000 2.382 2.487 Pt
2.382 0.000 2.487 Pt
```

M_tot = 0.7 μB/cell
total energy = -4.928 eV/atom

***

A relaxed structure of Nd2ErSn3Pt4, computed with GGA-PBE.

The structure in POSCAR format:
```
Nd2ErSn3Pt4
1.0
4.598 0.000 0.000
0.000 4.598 0.000
0.000 0.000 11.088
Nd Er Sn Pt
2 1 3 4
Cartesian
0.000 2.299 2.440 Nd
2.299 0.000 8.648 Nd
0.000 0.000 5.544 Er
0.000 2.299 9.695 Sn
2.299 0.000 1.393 Sn
2.299 2.299 5.544 Sn
0.000 0.000 0.000 Pt
0.000 2.299 7.100 Pt
2.299 0.000 3.988 Pt
2.299 2.299 0.000 Pt
```

M_tot = 0.0 μB/cell
total energy = -5.943 eV/atom

***

A relaxed structure of Ca3Al2InAu6, computed with GGA-PBE.

The structure in POSCAR format:
```
Ca3Al2InAu6
1.0
5.911 0.000 0.000
-2.955 5.119 0.000
0.000 0.000 9.222
Ca Al In Au
3 2 1 6
Cartesian
0.000 0.000 0.000 Ca
0.000 3.412 5.631 Ca
2.955 1.706 3.591 Ca
0.000 3.412 0.342 Al
2.955 1.706 8.880 Al
0.000 0.000 4.611 In
0.000 1.762 2.438 Au
-1.430 4.238 2.438 Au
1.526 0.881 6.785 Au
1.430 4.238 2.438 Au
4.385 0.881 6.785 Au
2.955 3.357 6.785 Au
```

M_tot = 0.0 μB/cell
total energy = -3.409 eV/atom

***

A relaxed structure of NaGaGeS4, computed with GGA-PBE.

The structure in POSCAR format:
```
NaGaGeS4
1.0
3.927 -5.857 0.000
3.927 5.857 0.000
0.000 0.000 7.264
Na Ga Ge S
2 2 2 8
Cartesian
0.000 0.000 0.000 Na
0.000 0.000 3.632 Na
3.927 1.537 5.448 Ga
3.927 -1.537 1.816 Ga
3.927 1.559 1.816 Ge
3.927 -1.559 5.448 Ge
3.927 2.917 0.033 S
3.927 2.917 3.599 S
2.246 0.058 1.816 S
2.246 -0.058 5.448 S
5.608 0.058 1.816 S
5.608 -0.058 5.448 S
3.927 -2.917 3.665 S
3.927 -2.917 7.230 S
```

M_tot = 0.0 μB/cell
total energy = -4.305 eV/atom

***

A relaxed structure of Nd3ThC8, computed with GGA-PBE.

The structure in POSCAR format:
```
Nd3ThC8
1.0
0.000 5.087 3.966
5.085 0.000 3.966
5.085 5.087 0.000
Nd Th C
3 1 8
Cartesian
0.000 0.000 0.000 Nd
2.542 2.543 1.989 Nd
7.627 7.630 5.955 Nd
5.085 5.087 3.966 Th
7.779 5.087 2.899 C
6.714 5.087 2.142 C
5.085 2.400 5.028 C
3.455 5.087 2.142 C
5.085 3.462 5.789 C
2.391 5.087 2.899 C
5.085 6.712 5.789 C
5.085 7.774 5.028 C
```

M_tot = 0.0 μB/cell
total energy = -7.760 eV/atom

***

Question: The lowest total energy belongs to which entry?
Answer: Nd3ThC8

***

Copy entry 5 word for word.
A relaxed structure of NaGaGeS4, computed with GGA-PBE.

The structure in POSCAR format:
```
NaGaGeS4
1.0
3.927 -5.857 0.000
3.927 5.857 0.000
0.000 0.000 7.264
Na Ga Ge S
2 2 2 8
Cartesian
0.000 0.000 0.000 Na
0.000 0.000 3.632 Na
3.927 1.537 5.448 Ga
3.927 -1.537 1.816 Ga
3.927 1.559 1.816 Ge
3.927 -1.559 5.448 Ge
3.927 2.917 0.033 S
3.927 2.917 3.599 S
2.246 0.058 1.816 S
2.246 -0.058 5.448 S
5.608 0.058 1.816 S
5.608 -0.058 5.448 S
3.927 -2.917 3.665 S
3.927 -2.917 7.230 S
```

M_tot = 0.0 μB/cell
total energy = -4.305 eV/atom

***

Question: total energy of number 1 (Tm2GeBi)?
Answer: -5.077 eV/atom

***

Question: The lowest total energy belongs to which entry?
Answer: Nd3ThC8